Entry 1:
AgSnNO | PBE-GGA | relaxed

Lattice parameters (Å, degrees): 4.7786 4.7786 4.5540 90.00 90.00 90.00
Element x y z (fractional)
Sn: 0.7500 0.2500 0.5000
Ag: 0.2500 0.2500 0.9975
N: 0.7500 0.7500 0.5028
Ag: 0.7500 0.7500 0.0025
O: 0.2500 0.7500 0.0000
N: 0.2500 0.2500 0.4972
O: 0.7500 0.2500 0.0000
Sn: 0.2500 0.7500 0.5000

Computed properties:
- Space group: P4/nmm (129)
- DFT total energy: -39.32 eV for the cell shown
- Energy above the most stable polymorph in this dataset: 267 meV per atom


Entry 2:
TbBPO | PBE-GGA | relaxed

Lattice parameters (Å, degrees): 3.3387 6.7617 5.7070 90.00 90.00 90.00
Site moments in Bohr magnetons follow the coordinates.
Element x y z (fractional)
Tb: 0.5000 0.7807 0.9493  0.29
O: 0.0000 0.5552 0.9279  0.01
P: 0.5000 0.1976 0.9458  0.00
Tb: 0.5000 0.2193 0.4493  0.29
B: 0.0000 0.3529 0.9310  0.03
O: 0.0000 0.4448 0.4279  0.01
B: 0.0000 0.6471 0.4310  0.03
P: 0.5000 0.8024 0.4458  0.00

Computed properties:
- Space group: Pmc2_1 (26)
- DFT total energy: -54.17 eV for the cell shown
- Energy above the most stable polymorph in this dataset: 100 meV per atom


- Among the records above, which one has the highest energy above the most stable polymorph in this dataset?
  AgSnNO